1:
The following is a PBE-GGA calculation of crystalline CdAgOs at its relaxed geometry, from Alexandria.

Results
Mass density: 13.25 g cm⁻³

a b c (Å): 7.7716 7.5371 2.7977
angles (deg): 84.23 74.78 20.99
Last column: nearest neighbours and their distance in Å.
Fractional positions:
1 Cd 0.3311 0.3311 0.6689  6 Cd 2.80-2.91, 2 Os 2.84, 2 Ag 2.92
2 Os 0.6665 0.6665 0.3335  6 Os 2.80-2.91, 2 Ag 2.83, 2 Cd 2.84
3 Ag 0.0024 0.0024 0.9976  6 Ag 2.80-2.91, 2 Os 2.83, 2 Cd 2.92

---

2:
The following is a PBE-GGA calculation of crystalline CdAgOs at its relaxed geometry, from Alexandria.

Results
Mass density: 10.62 g cm⁻³

a b c (Å): 4.4938 4.4938 4.4938
angles (deg): 60.00 60.00 60.00
Last column: nearest neighbours and their distance in Å.
Fractional positions:
1 Os 0.2500 0.2500 0.2500  4 Cd 2.75, 4 Ag 2.75
2 Cd 0.5000 0.5000 0.5000  4 Os 2.75
3 Ag 0.0000 0.0000 0.0000  4 Os 2.75

---

What should be chosen as the least stable of them? Choose 2.

---

1:
The following is a PBE-GGA calculation of crystalline Cd3AgP at its relaxed geometry, from Alexandria.

Results
Mass density: 5.67 g cm⁻³

a b c (Å): 5.1845 5.1845 5.1845
angles (deg): 90.00 90.00 90.00
Last column: nearest neighbours and their distance in Å.
Fractional positions:
1 Cd 0.0000 0.5000 0.0000  2 Ag 2.59
2 P 0.5000 0.5000 0.5000  12 Cd 3.67
3 Cd 0.5000 0.0000 0.0000  2 Ag 2.59
4 Cd 0.0000 0.0000 0.5000  2 Ag 2.59
5 Ag 0.0000 0.0000 0.0000  6 Cd 2.59

---

2:
The following is a PBE-GGA calculation of crystalline Cd3AgP at its relaxed geometry, from Alexandria.

Results
Mass density: 5.77 g cm⁻³

a b c (Å): 5.1565 5.1565 5.1565
angles (deg): 90.00 90.00 90.00
Last column: nearest neighbours and their distance in Å.
Fractional positions:
1 Cd 0.0000 0.0000 0.5000  2 P 2.58
2 Ag 0.5000 0.5000 0.5000  12 Cd 3.65
3 Cd 0.5000 0.0000 0.0000  2 P 2.58
4 P 0.0000 0.0000 0.0000  6 Cd 2.58
5 Cd 0.0000 0.5000 0.0000  2 P 2.58

---

What should be chosen as the least stable of them? Choose 1.

---

1:
The following is a PBE-GGA calculation of crystalline Rb2CdAgP at its relaxed geometry, from Alexandria.

Results
Mass density: 3.24 g cm⁻³

a b c (Å): 6.7482 4.7563 6.7482
angles (deg): 90.00 90.00 90.00
Last column: nearest neighbours and their distance in Å.
Fractional positions:
1 P 0.0000 0.0000 0.0000  2 Cd 2.38
2 Rb 0.0000 0.0000 0.5000  2 P 3.37
3 Ag 0.5000 0.5000 0.5000  8 Rb 4.13
4 Cd 0.0000 0.5000 0.0000  2 P 2.38
5 Rb 0.5000 0.0000 0.0000  2 P 3.37

---

2:
The following is a PBE-GGA calculation of crystalline Rb2CdAgP at its relaxed geometry, from Alexandria.

Results
Mass density: 3.33 g cm⁻³

a b c (Å): 6.6938 6.6938 4.7021
angles (deg): 90.00 90.00 90.00
Last column: nearest neighbours and their distance in Å.
Fractional positions:
1 Cd 0.5000 0.5000 0.5000  8 Rb 4.09
2 Rb 0.0000 0.5000 0.0000  2 P 3.35
3 Rb 0.5000 0.0000 0.0000  2 P 3.35
4 Ag 0.0000 0.0000 0.5000  2 P 2.35
5 P 0.0000 0.0000 0.0000  2 Ag 2.35

---

What should be chosen as the least stable of them? Choose 1.

---

1:
The following is a PBE-GGA calculation of crystalline Cd3AgPb at its relaxed geometry, from Alexandria.

Results
Mass density: 8.89 g cm⁻³

a b c (Å): 5.7618 5.9870 7.6753
angles (deg): 112.96 90.00 90.00
Last column: nearest neighbours and their distance in Å.
Fractional positions:
1 Cd 0.7500 0.1770 0.3540  2 Cd 2.88, 2 Ag 2.89
2 Pb 0.2500 0.4257 0.8513  8 Cd 3.33-3.50, 4 Ag 3.48, 2 Pb 3.57
3 Cd 0.7500 0.6016 0.7020  3 Cd 2.88-3.00, 2 Ag 2.96
4 Cd 0.2500 0.8996 0.2980  3 Cd 2.88-3.00, 2 Ag 2.96
5 Cd 0.2500 0.8230 0.6460  2 Cd 2.88, 2 Ag 2.89
6 Ag 0.0000 0.0000 0.0000  2 Ag 2.88, 6 Cd 2.89-2.96
7 Ag 0.5000 0.0000 0.0000  2 Ag 2.88, 6 Cd 2.89-2.96
8 Pb 0.7500 0.5743 0.1487  8 Cd 3.33-3.50, 4 Ag 3.48, 2 Pb 3.57
9 Cd 0.2500 0.3984 0.2980  3 Cd 2.88-3.00, 2 Ag 2.96
10 Cd 0.7500 0.1004 0.7020  3 Cd 2.88-3.00, 2 Ag 2.96

---

2:
The following is a PBE-GGA calculation of crystalline Cd3AgPb at its relaxed geometry, from Alexandria.

Results
Mass density: 8.55 g cm⁻³

a b c (Å): 5.8528 7.0708 7.0702
angles (deg): 120.00 89.98 90.01
Last column: nearest neighbours and their distance in Å.
Fractional positions:
1 Ag 0.0000 0.0000 0.0000  6 Cd 2.80, 2 Ag 2.93
2 Cd 0.7500 0.1951 0.3901  2 Ag 2.80, 2 Cd 2.93
3 Cd 0.2499 0.8049 0.1950  2 Ag 2.80, 2 Cd 2.93
4 Ag 0.5000 0.0000 0.0000  6 Cd 2.80, 2 Ag 2.93
5 Cd 0.7501 0.6099 0.8050  2 Ag 2.80, 2 Cd 2.93
6 Cd 0.7501 0.1951 0.8050  2 Ag 2.80, 2 Cd 2.93
7 Pb 0.7499 0.6668 0.3334  12 Cd 3.38-3.55
8 Cd 0.2500 0.8049 0.6099  2 Ag 2.80, 2 Cd 2.93
9 Cd 0.2499 0.3901 0.1950  2 Ag 2.80, 2 Cd 2.93
10 Pb 0.2501 0.3332 0.6666  12 Cd 3.38-3.55

---

3:
The following is a PBE-GGA calculation of crystalline Cd3AgPb at its relaxed geometry, from Alexandria.

Results
Mass density: 7.50 g cm⁻³

a b c (Å): 5.2471 5.2471 5.2471
angles (deg): 90.00 90.00 90.00
Last column: nearest neighbours and their distance in Å.
Fractional positions:
1 Cd 0.0000 0.0000 0.5000  2 Ag 2.62
2 Pb 0.5000 0.5000 0.5000  12 Cd 3.71
3 Cd 0.5000 0.0000 0.0000  2 Ag 2.62
4 Ag 0.0000 0.0000 0.0000  6 Cd 2.62
5 Cd 0.0000 0.5000 0.0000  2 Ag 2.62

---

What should be chosen as the least stable of them? Choose 3.

---

1:
The following is a PBE-GGA calculation of crystalline Cd2AgPb2 at its relaxed geometry, from Alexandria.

Results
Mass density: 9.37 g cm⁻³

a b c (Å): 7.3837 7.3837 4.8572
angles (deg): 90.00 90.00 90.00
Last column: nearest neighbours and their distance in Å.
Fractional positions:
1 Ag 0.0000 0.0000 0.0000  4 Cd 2.85
2 Pb 0.3295 0.1705 0.5000  6 Cd 3.13-3.35
3 Cd 0.1404 0.3596 0.0000  2 Ag 2.85, 1 Cd 2.93, 2 Pb 3.13
4 Pb 0.8295 0.3295 0.5000  6 Cd 3.13-3.35
5 Cd 0.8596 0.6404 0.0000  2 Ag 2.85, 1 Cd 2.93, 2 Pb 3.13
6 Ag 0.5000 0.5000 0.0000  4 Cd 2.85
7 Pb 0.1705 0.6705 0.5000  6 Cd 3.13-3.35
8 Cd 0.3596 0.8596 0.0000  2 Ag 2.85, 1 Cd 2.93, 2 Pb 3.13
9 Cd 0.6404 0.1404 0.0000  2 Ag 2.85, 1 Cd 2.93, 2 Pb 3.13
10 Pb 0.6705 0.8295 0.5000  6 Cd 3.13-3.35

---

2:
The following is a PBE-GGA calculation of crystalline Cd2AgPb2 at its relaxed geometry, from Alexandria.

Results
Mass density: 8.94 g cm⁻³

a b c (Å): 7.6975 7.6975 4.6862
angles (deg): 90.00 90.00 90.00
Last column: nearest neighbours and their distance in Å.
Fractional positions:
1 Pb 0.1555 0.3445 0.0000  2 Ag 2.91, 2 Cd 3.15
2 Cd 0.6515 0.8485 0.5000  6 Pb 3.15-3.33, 1 Cd 3.30
3 Ag 0.5000 0.5000 0.0000  4 Pb 2.91
4 Pb 0.8445 0.6555 0.0000  2 Ag 2.91, 2 Cd 3.15
5 Pb 0.3445 0.8445 0.0000  2 Ag 2.91, 2 Cd 3.15
6 Cd 0.8485 0.3485 0.5000  6 Pb 3.15-3.33, 1 Cd 3.30
7 Ag 0.0000 0.0000 0.0000  4 Pb 2.91
8 Cd 0.1515 0.6515 0.5000  6 Pb 3.15-3.33, 1 Cd 3.30
9 Pb 0.6555 0.1555 0.0000  2 Ag 2.91, 2 Cd 3.15
10 Cd 0.3485 0.1515 0.5000  6 Pb 3.15-3.33, 1 Cd 3.30

---

What should be chosen as the least stable of them? Choose 2.

---

1:
The following is a PBE-GGA calculation of crystalline Cd2Ag2Pb at its relaxed geometry, from Alexandria.

Results
Mass density: 9.65 g cm⁻³

a b c (Å): 8.3420 8.3420 3.2049
angles (deg): 90.00 90.00 90.00
Last column: nearest neighbours and their distance in Å.
Fractional positions:
1 Ag 0.1229 0.3771 0.0000  6 Cd 2.90-2.97, 3 Ag 2.90-3.20
2 Cd 0.6726 0.8274 0.5000  6 Ag 2.90-2.97, 2 Cd 3.20
3 Ag 0.3771 0.8771 0.0000  6 Cd 2.90-2.97, 3 Ag 2.90-3.20
4 Ag 0.6229 0.1229 0.0000  6 Cd 2.90-2.97, 3 Ag 2.90-3.20
5 Cd 0.1726 0.6726 0.5000  6 Ag 2.90-2.97, 2 Cd 3.20
6 Pb 0.5000 0.5000 0.0000  2 Pb 3.20, 4 Ag 3.31, 8 Cd 3.48
7 Pb 0.0000 0.0000 0.0000  2 Pb 3.20, 4 Ag 3.31, 8 Cd 3.48
8 Cd 0.3274 0.1726 0.5000  6 Ag 2.90-2.97, 2 Cd 3.20
9 Cd 0.8274 0.3274 0.5000  6 Ag 2.90-2.97, 2 Cd 3.20
10 Ag 0.8771 0.6229 0.0000  6 Cd 2.90-2.97, 3 Ag 2.90-3.20

---

2:
The following is a PBE-GGA calculation of crystalline Cd2Ag2Pb at its relaxed geometry, from Alexandria.

Results
Mass density: 9.09 g cm⁻³

a b c (Å): 4.0669 4.0669 7.7092
angles (deg): 74.71 74.71 90.00
Last column: nearest neighbours and their distance in Å.
Fractional positions:
1 Ag 0.7500 0.2500 0.5000  4 Ag 2.88, 4 Cd 2.90
2 Ag 0.2500 0.7500 0.5000  4 Ag 2.88, 4 Cd 2.90
3 Pb 0.0000 0.0000 0.0000  8 Cd 3.25
4 Cd 0.6057 0.6057 0.7886  4 Ag 2.90, 1 Cd 3.02
5 Cd 0.3943 0.3943 0.2114  4 Ag 2.90, 1 Cd 3.02

---

3:
The following is a PBE-GGA calculation of crystalline Cd2Ag2Pb at its relaxed geometry, from Alexandria.

Results
Mass density: 9.61 g cm⁻³

a b c (Å): 8.4324 8.4324 3.1477
angles (deg): 90.00 90.00 90.00
Last column: nearest neighbours and their distance in Å.
Fractional positions:
1 Ag 0.8289 0.3289 0.5000  6 Cd 2.89-2.98, 2 Ag 3.15
2 Cd 0.8741 0.6259 0.0000  6 Ag 2.89-2.98, 3 Cd 3.00-3.15
3 Pb 0.0000 0.0000 0.0000  2 Pb 3.15, 4 Cd 3.33, 8 Ag 3.50
4 Ag 0.1711 0.6711 0.5000  6 Cd 2.89-2.98, 2 Ag 3.15
5 Pb 0.5000 0.5000 0.0000  2 Pb 3.15, 4 Cd 3.33, 8 Ag 3.50
6 Cd 0.6259 0.1259 0.0000  6 Ag 2.89-2.98, 3 Cd 3.00-3.15
7 Cd 0.3741 0.8741 0.0000  6 Ag 2.89-2.98, 3 Cd 3.00-3.15
8 Ag 0.3289 0.1711 0.5000  6 Cd 2.89-2.98, 2 Ag 3.15
9 Ag 0.6711 0.8289 0.5000  6 Cd 2.89-2.98, 2 Ag 3.15
10 Cd 0.1259 0.3741 0.0000  6 Ag 2.89-2.98, 3 Cd 3.00-3.15

---

4:
The following is a PBE-GGA calculation of crystalline Cd2Ag2Pb at its relaxed geometry, from Alexandria.

Results
Mass density: 9.17 g cm⁻³

a b c (Å): 4.1162 4.1162 7.5109
angles (deg): 74.10 74.10 90.00
Last column: nearest neighbours and their distance in Å.
Fractional positions:
1 Cd 0.7500 0.2500 0.5000  4 Cd 2.91, 4 Ag 2.92
2 Ag 0.3997 0.3997 0.2005  1 Ag 2.78, 4 Cd 2.92
3 Ag 0.6003 0.6003 0.7995  1 Ag 2.78, 4 Cd 2.92
4 Pb 0.0000 0.0000 0.0000  8 Ag 3.22
5 Cd 0.2500 0.7500 0.5000  4 Cd 2.91, 4 Ag 2.92

---

What should be chosen as the least stable of them? Choose 2.